(1)
A plane-wave DFT calculation with PBE+U was carried out for KRb2WF8 after structural relaxation.

Cell lengths 6.097, 6.097, 7.268 Å; angles 114.80, 114.80, 90.00 degrees
Fractional coordinates of all 12 atoms:
F (0.950, 0.840, 0.293)
F (0.160, 0.657, 0.707)
F (0.343, 0.840, 0.293)
F (0.160, 0.050, 0.707)
F (0.343, 0.453, 0.293)
F (0.547, 0.657, 0.707)
F (0.547, 0.050, 0.707)
F (0.950, 0.453, 0.293)
Rb (0.750, 0.250, 0.500)
Rb (0.000, 0.000, 0.000)
K (0.500, 0.500, 0.000)
W (0.250, 0.750, 0.500)

Summary:
The space group is I-4m2. The calculation puts the calculated total energy at -4.8649 eV per atom. For the density of states at the Fermi level, the calculation gives 0.0 states/eV/f.u.


(2)
A plane-wave DFT calculation with PBE+U was carried out for KRbWF6 after structural relaxation.

Cell lengths 6.632, 6.632, 9.357 Å; angles 90.00, 90.00, 120.00 degrees
Fractional coordinates of all 18 atoms:
F (0.677, 0.589, 0.126)
F (0.912, 0.589, 0.374)
F (0.589, 0.677, 0.626)
F (0.088, 0.411, 0.626)
F (0.912, 0.323, 0.126)
F (0.589, 0.912, 0.874)
F (0.677, 0.088, 0.374)
F (0.323, 0.411, 0.874)
F (0.323, 0.912, 0.626)
F (0.088, 0.677, 0.874)
F (0.411, 0.088, 0.126)
F (0.411, 0.323, 0.374)
W (0.667, 0.333, 0.250)
W (0.333, 0.667, 0.750)
K (0.000, 0.000, 0.500)
K (0.000, 0.000, 0.000)
Rb (0.667, 0.333, 0.750)
Rb (0.333, 0.667, 0.250)

Summary:
The space group is P-31c. The calculation puts the calculated total energy at -5.1232 eV per atom. For the density of states at the Fermi level, the calculation gives 0.0 states/eV/f.u.